No. 1
VASP calculation (GGA-PBE) on Tb2AsIr after structural relaxation.

Cell lengths 4.096, 4.096, 20.093 Å; angles 90.00, 90.00, 120.00 degrees
Fractional positions:
Tb 0.000 0.000 0.247
Tb 0.000 0.000 0.753
Tb 0.333 0.667 0.419
Tb 0.333 0.667 0.914
Tb 0.667 0.333 0.086
Tb 0.667 0.333 0.581
As 0.000 0.000 0.000
As 0.333 0.667 0.667
As 0.667 0.333 0.333
Ir 0.000 0.000 0.500
Ir 0.333 0.667 0.167
Ir 0.667 0.333 0.833

Calculated values
Calculated total energy, eV/atom: -6.626
ΔE_f, eV/atom: -0.9333
Space-group type: No. 166

No. 2
VASP calculation (GGA-PBE) on La2Tb12Pr5 after structural relaxation.

Cell lengths 9.208, 9.208, 8.775 Å; angles 91.86, 91.86, 61.39 degrees
Fractional positions:
La 0.175 0.825 0.000
La 0.825 0.175 0.000
Tb 0.058 0.058 0.338
Tb 0.061 0.680 0.335
Tb 0.174 0.529 0.758
Tb 0.320 0.939 0.665
Tb 0.425 0.425 0.124
Tb 0.471 0.826 0.242
Tb 0.529 0.174 0.758
Tb 0.575 0.575 0.876
Tb 0.680 0.061 0.335
Tb 0.826 0.471 0.242
Tb 0.939 0.320 0.665
Tb 0.942 0.942 0.662
Pr 0.208 0.208 0.021
Pr 0.269 0.269 0.428
Pr 0.500 0.500 0.500
Pr 0.731 0.731 0.572
Pr 0.792 0.792 0.979

Calculated values
Calculated total energy, eV/atom: -4.571
ΔE_f, eV/atom: 0.1299
Space-group type: No. 12

No. 3
VASP calculation (GGA-PBE) on NbB2Te after structural relaxation.

Cell lengths 5.374, 5.374, 9.777 Å; angles 90.00, 90.00, 90.00 degrees
Fractional positions:
Nb 0.000 0.000 0.000
Nb 0.000 0.500 0.250
Nb 0.500 0.000 0.750
Nb 0.500 0.500 0.500
B 0.241 0.250 0.125
B 0.250 0.741 0.375
B 0.250 0.759 0.875
B 0.259 0.250 0.625
B 0.741 0.750 0.625
B 0.750 0.241 0.875
B 0.750 0.259 0.375
B 0.759 0.750 0.125
Te 0.000 0.000 0.500
Te 0.000 0.500 0.750
Te 0.500 0.000 0.250
Te 0.500 0.500 0.000

Calculated values
Formation energy (no corrections), eV/atom: 0.8333
Calculated total energy, eV/atom: -5.808
Space-group type: No. 122

No. 4
VASP calculation (GGA-PBE) on Na3Pm3InO8 after structural relaxation.

Cell lengths 6.882, 6.882, 6.882 Å; angles 61.60, 61.60, 61.60 degrees
Fractional positions:
Na 0.000 0.500 0.500
Na 0.500 0.000 0.500
Na 0.500 0.500 0.000
Pm 0.000 0.000 0.500
Pm 0.000 0.500 0.000
Pm 0.500 0.000 0.000
In 0.500 0.500 0.500
O 0.237 0.237 0.237
O 0.258 0.725 0.725
O 0.275 0.275 0.742
O 0.275 0.742 0.275
O 0.725 0.258 0.725
O 0.725 0.725 0.258
O 0.742 0.275 0.275
O 0.763 0.763 0.763

Calculated values
Formation energy (no corrections), eV/atom: -2.2966
Calculated total energy, eV/atom: -6.337
Space-group type: No. 166